Sm6AgPd5 after structural relaxation, computed with GGA-PBE.

## Properties
Energy, eV/atom: -5.360

The structure in POSCAR format:
```
Sm6AgPd5
1.0
7.294 0.121 0.000
2.169 6.985 0.000
1.084 3.493 6.158
Sm Ag Pd
6 1 5
direct
0.734 0.091 0.349
0.266 0.561 0.349
0.240 0.273 0.000
0.760 0.727 0.000
0.734 0.439 0.651
0.266 0.909 0.651
0.000 0.000 0.000
0.500 0.152 0.696
0.000 0.326 0.348
0.500 0.500 0.000
0.000 0.674 0.652
0.500 0.848 0.304
```


LiTc2Ru after structural relaxation, computed with GGA-PBE.

## Properties
Energy, eV/atom: -7.705

The structure in POSCAR format:
```
LiTc2Ru
1.0
-3.652 0.167 3.243
-0.908 -1.793 -4.455
0.640 -2.428 0.847
Li Ru Tc
1 1 2
direct
0.500 0.000 0.500
0.000 0.500 0.500
0.000 0.000 0.000
0.500 0.500 0.000
```


Ac12GaSn6 after structural relaxation, computed with GGA-PBE.

## Properties
Energy, eV/atom: -4.400

The structure in POSCAR format:
```
Ac12GaSn6
1.0
-9.381 1.454 -1.062
-0.145 -7.080 6.410
2.172 7.346 5.706
Ac Ga Sn
12 1 6
direct
0.813 0.577 0.439
0.439 0.813 0.577
0.577 0.439 0.813
0.187 0.423 0.561
0.561 0.187 0.423
0.423 0.561 0.187
0.059 0.963 0.324
0.037 0.676 0.941
0.676 0.941 0.037
0.941 0.037 0.676
0.963 0.324 0.059
0.324 0.059 0.963
0.000 0.000 0.000
0.692 0.874 0.373
0.627 0.308 0.126
0.126 0.627 0.308
0.308 0.126 0.627
0.373 0.692 0.874
0.874 0.373 0.692
```


KIn2Rh after structural relaxation, computed with GGA-PBE.

## Properties
Energy, eV/atom: -3.627

The structure in POSCAR format:
```
KIn2Rh
1.0
-0.943 -4.161 -1.583
3.377 -2.785 -1.245
1.095 -4.719 5.236
In K Rh
2 1 1
direct
0.960 0.960 0.120
0.706 0.706 0.882
0.505 0.505 0.486
0.329 0.329 0.013
```


BaGa2 after structural relaxation, computed with GGA-PBE.

## Properties
Energy, eV/atom: -2.890

The structure in POSCAR format:
```
BaGa2
1.0
3.703 0.000 0.000
0.000 3.703 0.000
-1.851 -1.851 6.091
Ba Ga
1 2
direct
0.000 0.000 0.000
0.699 0.699 0.398
0.301 0.301 0.602
```


TaReTc2 after structural relaxation, computed with GGA-PBE.

## Properties
Energy, eV/atom: -11.210

The structure in POSCAR format:
```
TaReTc2
1.0
-3.236 -1.953 -0.928
2.110 -2.306 -2.503
0.706 -2.584 2.976
Re Ta Tc
1 1 2
direct
0.500 0.500 0.000
0.500 0.000 0.500
0.000 0.000 0.000
0.000 0.500 0.500
```


Ti7Pt2C2 after structural relaxation, computed with GGA-PBE.

## Properties
Energy, eV/atom: -8.294

The structure in POSCAR format:
```
Ti7Pt2C2
1.0
-4.068 2.809 2.201
2.064 -1.150 5.282
3.859 3.730 -0.696
Ti Pt C
7 2 2
direct
0.000 0.234 0.500
0.500 0.766 0.000
0.000 0.766 0.500
0.500 0.234 0.000
0.000 0.000 0.000
0.500 0.773 0.500
0.500 0.227 0.500
0.810 0.500 0.810
0.190 0.500 0.190
0.726 0.000 0.274
0.274 0.000 0.726
```


Tl2NiW after structural relaxation, computed with GGA-PBE.

## Properties
Energy, eV/atom: -5.091

The structure in POSCAR format:
```
Tl2NiW
1.0
9.156 0.004 0.002
8.635 3.044 0.002
8.635 1.479 2.660
Ni Tl W
1 2 1
direct
0.750 0.750 0.750
0.007 0.007 0.007
0.493 0.493 0.493
0.250 0.250 0.250
```


La2TbTm7 after structural relaxation, computed with GGA-PBE.

## Properties
Energy, eV/atom: -4.546

The structure in POSCAR format:
```
La2TbTm7
1.0
5.445 2.183 -1.759
4.083 7.818 -5.828
-2.631 -1.689 10.709
La Tb Tm
2 1 7
direct
0.595 0.603 0.399
0.405 0.397 0.601
0.000 0.000 0.000
0.898 0.903 0.603
0.102 0.097 0.397
0.702 0.703 0.804
0.298 0.297 0.196
0.798 0.797 0.195
0.202 0.203 0.805
0.500 0.500 0.000
```


PmSm2Tl2Ag2 after structural relaxation, computed with GGA-PBE.

## Properties
Energy, eV/atom: -3.715

The structure in POSCAR format:
```
PmSm2Tl2Ag2
1.0
-1.798 1.117 -4.465
0.016 -3.395 -3.590
-8.833 -3.564 -0.068
Pm Sm Tl Ag
1 2 2 2
direct
0.000 0.000 0.000
0.125 0.125 0.625
0.875 0.875 0.375
0.740 0.740 0.780
0.260 0.260 0.220
0.603 0.603 0.192
0.397 0.397 0.808
```


UInNiSe3 after structural relaxation, computed with GGA-PBE.

## Properties
Energy, eV/atom: -5.754
Formation energy from raw total energies, meV per atom: -711

The structure in POSCAR format:
```
UInNiSe3
1.0
3.944 0.000 0.000
0.000 9.150 0.615
0.000 -3.783 8.485
U In Ni Se
2 2 2 6
direct
0.250 0.682 0.166
0.750 0.318 0.834
0.250 0.191 0.235
0.750 0.809 0.765
0.250 0.086 0.590
0.750 0.914 0.410
0.750 0.888 0.139
0.250 0.112 0.861
0.250 0.805 0.480
0.750 0.195 0.520
0.750 0.455 0.162
0.250 0.545 0.838
```


Li2CdRe after structural relaxation, computed with GGA-PBE.

## Properties
Energy, eV/atom: -3.729

The structure in POSCAR format:
```
Li2CdRe
1.0
3.895 0.000 0.000
0.000 3.958 0.000
0.000 0.000 3.958
Cd Li Re
1 2 1
direct
0.500 0.000 0.500
0.000 0.000 0.000
0.000 0.500 0.500
0.500 0.500 0.000
```


The lowest energy belongs to which entry? TaReTc2


The highest energy belongs to which entry? BaGa2


Among the records above, which one has the highest energy? BaGa2